# 1
Compound: TePd8Se2
Source: Alexandria
Functional: PBE
Structure: relaxed

Results
- Energy relative to the elements, uncorrected: -2.02 eV/f.u.
- Energy above the lowest structure with this stoichiometry: 0 meV/atom

Unit cell a=4.239 b=6.534 c=7.611 alpha=112.69 beta=106.17 gamma=90.00
Fractional positions:
Se1 0.817 0.332 0.634
Se2 0.183 0.668 0.366
Pd1 0.033 0.772 0.066
Pd2 0.324 0.046 0.649
Pd3 0.181 0.280 0.362
Pd4 0.819 0.720 0.638
Pd5 0.407 0.535 0.814
Pd6 0.593 0.465 0.186
Pd7 0.676 0.954 0.351
Pd8 0.967 0.228 0.934
Te1 0.500 0.000 0.000



# 2
Compound: BaCa2Zn
Source: Alexandria
Functional: PBE
Structure: relaxed

Results
- Formation enthalpy at 0 K: 58 meV/atom

Unit cell a=5.843 b=5.084 c=5.084 alpha=90.00 beta=90.00 gamma=90.00
Fractional positions:
Ca1 0.000 0.000 0.000
Ca2 0.000 0.500 0.500
Ba1 0.500 0.000 0.500
Zn1 0.500 0.500 0.000



# 3
Compound: CeCo3Ge5
Source: Alexandria
Functional: PBE
Structure: relaxed

Results
- Formation enthalpy at 0 K: -207 meV/atom

Unit cell a=6.623 b=6.623 c=8.815 alpha=66.35 beta=66.35 gamma=75.90
Fractional positions:
Ge1 0.061 0.609 0.652
Ge2 0.752 0.752 0.044
Ge3 0.414 0.414 0.353
Ge4 0.609 0.061 0.652
Ge5 0.391 0.939 0.348
Ge6 0.939 0.391 0.348
Ge7 0.693 0.307 0.000
Ge8 0.586 0.586 0.647
Ge9 0.307 0.693 0.000
Ge10 0.248 0.248 0.956
Co1 0.000 0.000 0.500
Co2 0.701 0.701 0.815
Co3 0.299 0.299 0.185
Co4 0.633 0.633 0.349
Co5 0.000 0.000 0.000
Co6 0.367 0.367 0.651
Ce1 0.087 0.087 0.701
Ce2 0.913 0.913 0.299



| no. | Fermi-level density of states (states/eV/cell) |
| --- | --- |
| 1 | 6.5 |
| 2 | 4.7 |
| 3 | 10.0 |